[1]
Computed, not measured: an optimized crystal structure of Tm6CS3 at the PBE level of DFT.

Cell lengths 6.249, 7.074, 10.977 Å; angles 90.00, 119.29, 90.00 degrees
Space group P2_1/c (No. 14)
One atom of each set of equivalent atoms:
Tm: 0.097 0.204 0.437 x4
Tm: 0.247 0.669 0.419 x4
Tm: 0.388 0.023 0.227 x4
C: 0.000 0.000 0.000 x2
S: 0.161 0.124 0.712 x4
S: 0.500 0.000 0.500 x2

formation energy (no corrections) = -1.166 eV/atom
Fermi-level density of states = 6.26 states/eV/f.u.

***

[2]
Computed, not measured: an optimized crystal structure of Tm4C2S at the PBE level of DFT.

Cell lengths 3.6069, 3.6069, 37.0796 Å; angles 90.00, 90.00, 120.00 degrees
Space group R-3m (No. 166, hexagonal axes)
One atom of each set of equivalent atoms:
Tm: 0.0000 0.0000 0.1187 x6
Tm: 0.0000 0.0000 0.2854 x6
C: 0.0000 0.0000 0.4187 x6
S: 0.0000 0.0000 0.0000 x3

formation energy (no corrections) = -0.904 eV/atom
Fermi-level density of states = 1.83 states/eV/f.u.

***

[3]
Computed, not measured: an optimized crystal structure of Tm6CS2 at the PBE level of DFT.

Cell lengths 15.830, 3.670, 7.439 Å; angles 90.00, 102.42, 90.00 degrees
Space group C2/m (No. 12)
One atom of each set of equivalent atoms:
Tm: 0.004 0.000 0.278 x4
Tm: 0.157 0.500 0.564 x4
Tm: 0.158 0.500 0.084 x4
C: 0.000 0.500 0.500 x2
S: 0.169 0.000 0.830 x4

formation energy (no corrections) = -0.950 eV/atom
Fermi-level density of states = 7.47 states/eV/f.u.

***

[4]
Computed, not measured: an optimized crystal structure of Tm3CS2 at the PBE level of DFT.

Cell lengths 3.677, 5.315, 11.520 Å; angles 90.00, 90.00, 90.00 degrees
Space group Immm (No. 71)
One atom of each set of equivalent atoms:
Tm: 0.000 0.000 0.000 x2
Tm: 0.000 0.000 0.359 x4
C: 0.000 0.500 0.000 x2
S: 0.000 0.500 0.327 x4

formation energy (no corrections) = -1.551 eV/atom
Fermi-level density of states = 1.38 states/eV/f.u.

***

[5]
Computed, not measured: an optimized crystal structure of Tm3CS at the PBE level of DFT.

Cell lengths 3.434, 6.558, 9.433 Å; angles 90.00, 90.25, 90.00 degrees
Space group P2_1/m (No. 11)
One atom of each set of equivalent atoms:
Tm: 0.245 0.250 0.486 x2
Tm: 0.253 0.017 0.192 x4
C: 0.248 0.750 0.708 x2
S: 0.249 0.250 0.945 x2

formation energy (no corrections) = -0.766 eV/atom
Fermi-level density of states = 3.36 states/eV/f.u.

***

[6]
Computed, not measured: an optimized crystal structure of Tm6C2S at the PBE level of DFT.

Cell lengths 15.614, 3.606, 7.395 Å; angles 90.00, 102.96, 90.00 degrees
Space group C2/m (No. 12)
One atom of each set of equivalent atoms:
Tm: 0.010 0.000 0.267 x4
Tm: 0.170 0.500 0.565 x4
Tm: 0.174 0.500 0.116 x4
C: 0.168 0.000 0.336 x4
S: 0.000 0.500 0.000 x2

formation energy (no corrections) = -0.660 eV/atom
Fermi-level density of states = 4.40 states/eV/f.u.

***

[7]
Computed, not measured: an optimized crystal structure of Tm8CS3 at the PBE level of DFT.

Cell lengths 7.4220, 7.4220, 17.9187 Å; angles 90.00, 90.00, 120.00 degrees
Space group R-3m (No. 166, hexagonal axes)
One atom of each set of equivalent atoms:
Tm: 0.0000 0.0000 0.2465 x6
Tm: 0.0308 0.5154 0.7496 x18
C: 0.0000 0.0000 0.0000 x3
S: 0.0000 0.5000 0.0000 x9

formation energy (no corrections) = -1.051 eV/atom
Fermi-level density of states = 5.40 states/eV/f.u.

***

[8]
Computed, not measured: an optimized crystal structure of Tm4CS2 at the PBE level of DFT.

Cell lengths 7.599, 10.659, 3.717 Å; angles 90.00, 90.00, 90.00 degrees
Space group Cmmm (No. 65)
One atom of each set of equivalent atoms:
Tm: 0.000 0.229 0.000 x4
Tm: 0.219 0.000 0.500 x4
C: 0.000 0.000 0.000 x2
S: 0.250 0.250 0.500 x4

formation energy (no corrections) = -1.295 eV/atom
Fermi-level density of states = 4.25 states/eV/f.u.

***

[9]
Computed, not measured: an optimized crystal structure of TmUCS at the PBE level of DFT.

Cell lengths 3.6270, 3.6270, 18.8364 Å; angles 90.00, 90.00, 120.00 degrees
Space group R3m (No. 160, hexagonal axes)
One atom of each set of equivalent atoms:
Tm: 0.0000 0.0000 0.0000 x3
U: 0.0000 0.0000 0.5220 x3
C: 0.0000 0.0000 0.2564 x3
S: 0.0000 0.0000 0.7586 x3

formation energy (no corrections) = -1.028 eV/atom
Fermi-level density of states = 6.21 states/eV/f.u.

***

[10]
Computed, not measured: an optimized crystal structure of UCS at the PBE level of DFT.

Cell lengths 3.458, 3.458, 8.497 Å; angles 90.00, 90.00, 90.00 degrees
Space group I4mm (No. 107)
One atom of each set of equivalent atoms:
U: 0.000 0.000 0.000 x2
C: 0.000 0.000 0.550 x2
S: 0.000 0.000 0.334 x2

formation energy (no corrections) = -0.142 eV/atom
Fermi-level density of states = 3.71 states/eV/f.u.

***

[11]
Computed, not measured: an optimized crystal structure of U3C2S at the PBE level of DFT.

Cell lengths 3.780, 11.820, 5.828 Å; angles 90.00, 90.00, 90.00 degrees
Space group Imm2 (No. 44)
One atom of each set of equivalent atoms:
U: 0.000 0.000 0.000 x2
U: 0.000 0.310 0.086 x4
C: 0.000 0.169 0.807 x4
S: 0.000 0.500 0.835 x2

formation energy (no corrections) = -0.038 eV/atom
Fermi-level density of states = 13.00 states/eV/f.u.

***

[12]
Computed, not measured: an optimized crystal structure of U3CS2 at the PBE level of DFT.

Cell lengths 3.678, 5.352, 11.396 Å; angles 90.00, 90.00, 90.00 degrees
Space group Immm (No. 71)
One atom of each set of equivalent atoms:
U: 0.000 0.000 0.000 x2
U: 0.000 0.000 0.355 x4
C: 0.000 0.500 0.000 x2
S: 0.000 0.500 0.324 x4

formation energy (no corrections) = -0.926 eV/atom
Fermi-level density of states = 14.44 states/eV/f.u.

***

> Among the records above, which one has the lowest formation energy (no corrections)?

Tm3CS2